# 1
# GdCd2Hg, relaxed, DFT PBE
data_GdCd2Hg
_chemical_formula_sum 'Gd1 Cd2 Hg1'
_space_group_name_H-M_alt 'P 1'
_space_group_IT_number 1
_cell_length_a 4.8966
_cell_length_b 4.4957
_cell_length_c 4.4957
_cell_angle_alpha 90.00
_cell_angle_beta 90.00
_cell_angle_gamma 90.00
loop_
_space_group_symop_operation_xyz
'x,y,z'
loop_
_atom_site_label
_atom_site_type_symbol
_atom_site_fract_x
_atom_site_fract_y
_atom_site_fract_z
Gd1 Gd 0.5000 0.5000 0.5000
Hg1 Hg 0.5000 0.0000 0.0000
Cd1 Cd 0.0000 0.0000 0.5000
Cd2 Cd 0.0000 0.5000 0.0000
# D(E_F) ... 4.3 states/eV per cell
# Calculated formation energy ... -0.29 eV/atom
# Energy above the most stable polymorph in this dataset ... 0.000 eV per atom
# Volume ... 24.74 Å³/atom


# 2
# Pm2NbGe4Rh3, relaxed, DFT PBE
data_Pm2NbGe4Rh3
_chemical_formula_sum 'Pm2 Nb1 Ge4 Rh3'
_space_group_name_H-M_alt 'P 1'
_space_group_IT_number 1
_cell_length_a 4.2099
_cell_length_b 4.2099
_cell_length_c 10.7335
_cell_angle_alpha 90.00
_cell_angle_beta 90.00
_cell_angle_gamma 90.00
loop_
_space_group_symop_operation_xyz
'x,y,z'
loop_
_atom_site_label
_atom_site_type_symbol
_atom_site_fract_x
_atom_site_fract_y
_atom_site_fract_z
Pm1 Pm 0.5000 0.0000 0.2391
Pm2 Pm 0.0000 0.5000 0.7609
Nb1 Nb 0.5000 0.5000 0.5000
Ge1 Ge 0.5000 0.5000 0.0000
Ge2 Ge 0.0000 0.0000 0.0000
Ge3 Ge 0.5000 0.0000 0.6476
Ge4 Ge 0.0000 0.5000 0.3524
Rh1 Rh 0.0000 0.0000 0.5000
Rh2 Rh 0.5000 0.0000 0.8781
Rh3 Rh 0.0000 0.5000 0.1219
# D(E_F) ... 7.8 states/eV per cell
# Calculated formation energy ... -0.74 eV/atom
# Volume ... 19.02 Å³/atom